[1]
Compound: Y2AlO2
Source: the Alexandria database
Functional: GGA-PBE
Structure: optimized geometry

abc: 4.746 4.746 5.330
angles: 63.56 63.56 90.00
Fractional coordinates of all 5 atoms:
Y1 0.750 0.250 0.500
Y2 0.250 0.750 0.500
O1 0.754 0.754 0.492
O2 0.246 0.246 0.508
Al1 0.000 0.000 0.000

Output
Relative energy among the computed polymorphs: 0.0 meV/atom
Formation energy (no corrections): -191 kJ/mol of atoms
Theoretical density: 4.22 Mg/m³
Total magnetization: 0.0 Bohr magnetons per cell
Density of states at the Fermi level: 4.23 states/eV/f.u.

=====

[2]
Compound: YAl2O4
Source: the Alexandria database
Functional: GGA-PBE
Structure: optimized geometry

abc: 6.289 6.413 5.798
angles: 74.58 57.15 60.64
Fractional coordinates of all 14 atoms:
O1 0.563 0.747 0.871
O2 0.617 0.313 0.154
O3 0.084 0.687 0.846
O4 0.184 0.247 0.629
O5 0.182 0.253 0.129
O6 0.680 0.187 0.654
O7 0.061 0.753 0.371
O8 0.521 0.813 0.346
Al1 0.428 0.130 0.266
Al2 0.444 0.630 0.234
Al3 0.824 0.870 0.734
Al4 0.308 0.370 0.766
Y1 0.803 0.500 0.500
Y2 0.053 0.000 0.000

Output
Relative energy among the computed polymorphs: 0.0 meV/atom
Formation energy (no corrections): -269 kJ/mol of atoms
Theoretical density: 4.01 Mg/m³
Total magnetization: 0.0 Bohr magnetons per cell
Density of states at the Fermi level: 0.90 states/eV/f.u.

=====

[3]
Compound: Y2AlO2
Source: the Alexandria database
Functional: GGA-PBE
Structure: optimized geometry

abc: 7.059 7.059 3.093
angles: 90.00 90.00 90.00
Fractional coordinates of all 10 atoms:
Y1 0.163 0.663 0.500
Y2 0.837 0.337 0.500
Y3 0.663 0.837 0.500
Y4 0.337 0.163 0.500
Al1 0.000 0.000 0.000
Al2 0.500 0.500 0.000
O1 0.632 0.132 0.000
O2 0.868 0.632 0.000
O3 0.132 0.368 0.000
O4 0.368 0.868 0.000

Output
Relative energy among the computed polymorphs: 386.9 meV/atom
Formation energy (no corrections): -154 kJ/mol of atoms
Theoretical density: 5.10 Mg/m³
Total magnetization: 0.0 Bohr magnetons per cell
Density of states at the Fermi level: 5.29 states/eV/f.u.

=====

[4]
Compound: YAlO3
Source: the Alexandria database
Functional: GGA-PBE
Structure: optimized geometry

abc: 3.488 3.488 11.482
angles: 90.00 90.00 120.00
Fractional coordinates of all 10 atoms:
O1 0.333 0.667 0.092
O2 0.000 0.000 0.250
O3 0.333 0.667 0.408
O4 0.667 0.333 0.592
O5 0.667 0.333 0.908
O6 0.000 0.000 0.750
Al1 0.667 0.333 0.750
Al2 0.333 0.667 0.250
Y1 0.000 0.000 0.500
Y2 0.000 0.000 0.000

Output
Formation energy (no corrections): -311 kJ/mol of atoms
Theoretical density: 4.50 Mg/m³
Total magnetization: 0.0 Bohr magnetons per cell
Density of states at the Fermi level: 0.00 states/eV/f.u.

=====

[5]
Compound: Y4Al2O9
Source: the Alexandria database
Functional: GGA-PBE
Structure: optimized geometry

abc: 7.435 10.561 11.258
angles: 90.00 108.48 90.00
Fractional coordinates of all 60 atoms:
O1 0.565 0.492 0.892
O2 0.231 0.260 0.269
O3 0.567 0.761 0.884
O4 0.433 0.239 0.116
O5 0.638 0.230 0.963
O6 0.435 0.508 0.108
O7 0.788 0.984 0.846
O8 0.790 0.262 0.247
O9 0.638 0.270 0.463
O10 0.695 0.017 0.160
O11 0.362 0.730 0.537
O12 0.077 0.994 0.393
O13 0.695 0.483 0.660
O14 0.212 0.016 0.154
O15 0.927 0.767 0.019
O16 0.565 0.008 0.392
O17 0.077 0.506 0.893
O18 0.923 0.494 0.107
O19 0.927 0.733 0.519
O20 0.073 0.233 0.981
O21 0.210 0.738 0.753
O22 0.231 0.240 0.769
O23 0.362 0.770 0.037
O24 0.435 0.992 0.608
O25 0.923 0.006 0.607
O26 0.305 0.983 0.840
O27 0.210 0.762 0.253
O28 0.769 0.760 0.231
O29 0.567 0.739 0.384
O30 0.790 0.238 0.747
O31 0.769 0.740 0.731
O32 0.073 0.267 0.481
O33 0.433 0.261 0.616
O34 0.212 0.484 0.654
O35 0.788 0.516 0.346
O36 0.305 0.517 0.340
Al1 0.217 0.321 0.628
Al2 0.346 0.823 0.886
Al3 0.783 0.679 0.372
Al4 0.654 0.323 0.614
Al5 0.783 0.821 0.872
Al6 0.654 0.177 0.114
Al7 0.346 0.677 0.386
Al8 0.217 0.179 0.128
Y1 0.023 0.096 0.805
Y2 0.340 0.127 0.438
Y3 0.023 0.404 0.305
Y4 0.977 0.596 0.695
Y5 0.838 0.122 0.417
Y6 0.660 0.873 0.562
Y7 0.477 0.610 0.715
Y8 0.162 0.622 0.083
Y9 0.162 0.878 0.583
Y10 0.838 0.378 0.917
Y11 0.523 0.390 0.285
Y12 0.523 0.110 0.785
Y13 0.340 0.373 0.938
Y14 0.660 0.627 0.062
Y15 0.477 0.890 0.215
Y16 0.977 0.904 0.195

Output
Formation energy (no corrections): -327 kJ/mol of atoms
Theoretical density: 4.39 Mg/m³
Total magnetization: 0.0 Bohr magnetons per cell
Density of states at the Fermi level: 0.00 states/eV/f.u.

=====

[6]
Compound: Y3Al5O12
Source: the Alexandria database
Functional: GGA-PBE
Structure: optimized geometry

abc: 10.501 10.501 10.501
angles: 109.47 109.47 109.47
Fractional coordinates of all 80 atoms:
O1 0.882 0.401 0.081
O2 0.118 0.020 0.199
O3 0.882 0.980 0.801
O4 0.020 0.321 0.901
O5 0.919 0.118 0.599
O6 0.599 0.179 0.480
O7 0.321 0.919 0.301
O8 0.480 0.599 0.179
O9 0.821 0.520 0.401
O10 0.081 0.882 0.401
O11 0.919 0.301 0.321
O12 0.801 0.882 0.980
O13 0.419 0.099 0.618
O14 0.199 0.581 0.179
O15 0.301 0.321 0.919
O16 0.382 0.301 0.480
O17 0.901 0.382 0.581
O18 0.401 0.081 0.882
O19 0.099 0.618 0.419
O20 0.980 0.679 0.099
O21 0.901 0.020 0.321
O22 0.179 0.199 0.581
O23 0.301 0.480 0.382
O24 0.081 0.699 0.679
O25 0.419 0.821 0.801
O26 0.520 0.618 0.699
O27 0.118 0.599 0.919
O28 0.581 0.901 0.382
O29 0.099 0.980 0.679
O30 0.382 0.581 0.901
O31 0.480 0.382 0.301
O32 0.321 0.901 0.020
O33 0.679 0.099 0.980
O34 0.599 0.919 0.118
O35 0.801 0.419 0.821
O36 0.199 0.118 0.020
O37 0.980 0.801 0.882
O38 0.618 0.699 0.520
O39 0.821 0.801 0.419
O40 0.020 0.199 0.118
O41 0.679 0.081 0.699
O42 0.618 0.419 0.099
O43 0.179 0.480 0.599
O44 0.401 0.821 0.520
O45 0.699 0.520 0.618
O46 0.699 0.679 0.081
O47 0.581 0.179 0.199
O48 0.520 0.401 0.821
Y1 0.125 0.250 0.375
Y2 0.750 0.625 0.875
Y3 0.750 0.125 0.375
Y4 0.875 0.750 0.625
Y5 0.875 0.625 0.250
Y6 0.375 0.750 0.125
Y7 0.250 0.875 0.625
Y8 0.375 0.125 0.250
Y9 0.250 0.375 0.125
Y10 0.625 0.250 0.875
Y11 0.625 0.875 0.750
Y12 0.125 0.375 0.750
Al1 0.875 0.125 0.750
Al2 0.000 0.000 0.500
Al3 0.125 0.750 0.875
Al4 0.250 0.625 0.375
Al5 0.500 0.000 0.000
Al6 0.750 0.875 0.125
Al7 0.375 0.250 0.625
Al8 0.375 0.625 0.750
Al9 0.250 0.125 0.875
Al10 0.000 0.500 0.000
Al11 0.625 0.750 0.375
Al12 0.000 0.000 0.000
Al13 0.625 0.375 0.250
Al14 0.500 0.500 0.500
Al15 0.875 0.250 0.125
Al16 0.500 0.000 0.500
Al17 0.000 0.500 0.500
Al18 0.500 0.500 0.000
Al19 0.750 0.375 0.625
Al20 0.125 0.875 0.250

Output
Formation energy (no corrections): -315 kJ/mol of atoms
Theoretical density: 4.42 Mg/m³
Total magnetization: 0.0 Bohr magnetons per cell
Density of states at the Fermi level: 0.00 states/eV/f.u.

=====

- Which value of formation energy (no corrections) does entry 5 give?
  -327 kJ/mol of atoms

=====

- Look up the formation energy (no corrections) of the sixth one.
  -315 kJ/mol of atoms

=====

- Which of these has the highest density of states at the Fermi level?
  number 3